This record from the Alexandria database describes a geometry-optimized GaCuPt2Au structure. The functional is PBE.

Geometry as POSCAR:
```
GaCuPt2Au
1.0
5.038 0.000 0.000
0.000 5.038 0.000
0.000 0.000 4.669
Ga Cu Pt Au
1 1 2 1
direct
0.000 0.000 0.000
0.500 0.500 0.000
0.000 0.500 0.500
0.500 0.000 0.500
0.500 0.500 0.500
```

Values from the calculation:
Uncorrected energy (eV/atom): -3.492
Space group: P4/mmm (123)
ΔE_f (eV per atom): 1.0040
Density (g/cm³): 10.09